A relaxed CaMnO3 crystal. Source: the Alexandria database, functional PBE with a Hubbard U.

Cell: 4.203 4.203 4.203 Å, 90.00 90.00 90.00°
Sites, in units of the cell vectors:
Ca1 0.000 0.000 0.000
Mn1 0.500 0.500 0.500
O1 0.000 0.000 0.500
O2 0.000 0.500 0.000
O3 0.500 0.000 0.000

Space group: Pm-3m, No. 221
ρ in g/cm³: 3.20
Calculated total energy in eV per atom: -5.53
Volume in Å³ per atom: 14.8